The following is a PBE calculation of an optimized crystal structure of FeCuSb2, from the Alexandria database.

Cell: 3.1499 3.1327 7.6798 Å, 90.00 98.16 90.00°
With the nearest neighbours (Å) after each atom.
Element x y z (fractional)
Fe (0.0000, 0.0000, 0.0000)  8 Sb 2.75
Cu (0.5000, 0.0000, 0.5000)  4 Sb 2.74
Sb (0.4258, 0.5000, 0.7871)  2 Cu 2.74, 4 Fe 2.75
Sb (0.5742, 0.5000, 0.2129)  2 Cu 2.74, 4 Fe 2.75

## Properties
Energy relative to the elements, uncorrected in eV/f.u.: 1.18
E in eV/atom: -4.9065
Symmetry: P2/m (10)
Calculated volume in Å³/atom: 18.8